# PBE-GGA Ba3W3N5, relaxed
# Uncorrected formation energy (eV/atom): -0.406
data_Ba3W3N5
_chemical_formula_sum 'Ba6 W6 N10'
_symmetry_space_group_name_H-M 'P -1'
_symmetry_Int_Tables_number 2
_cell_length_a 6.2335
_cell_length_b 7.5753
_cell_length_c 9.3047
_cell_angle_alpha 106.62
_cell_angle_beta 101.03
_cell_angle_gamma 95.06
loop_
_symmetry_equiv_pos_as_xyz
'x,y,z'
'-x,-y,-z'
loop_
_atom_site_label
_atom_site_type_symbol
_atom_site_fract_x
_atom_site_fract_y
_atom_site_fract_z
Ba1 Ba 0.1371 0.3573 0.3790
Ba2 Ba 0.1407 0.1518 0.7134
Ba3 Ba 0.3205 0.9240 0.1104
W1 W 0.1907 0.4536 0.0690
W2 W 0.3910 0.5907 0.7954
W3 W 0.4142 0.8117 0.4701
N1 N 0.1207 0.5532 0.8786
N2 N 0.2841 0.0344 0.4368
N3 N 0.3574 0.6980 0.6284
N4 N 0.3652 0.2461 0.0267
N5 N 0.3992 0.6132 0.2737

***

# PBE-GGA Rb3InGa2Sn9, relaxed
# Energy relative to the elements (meV/atom): 117
data_Rb3InGa2Sn9
_chemical_formula_sum 'Rb3 In1 Ga2 Sn9'
_symmetry_space_group_name_H-M 'P -3 m 1'
_symmetry_Int_Tables_number 164
_symmetry_space_group_name_Hall '-P 3 2"'
_cell_length_a 8.9551
_cell_length_b 8.9551
_cell_length_c 9.1222
_cell_angle_alpha 90.00
_cell_angle_beta 90.00
_cell_angle_gamma 120.00
loop_
_atom_site_label
_atom_site_type_symbol
_atom_site_fract_x
_atom_site_fract_y
_atom_site_fract_z
Rb1 Rb 0.0000 0.0000 0.0000
Rb2 Rb 0.3333 0.6667 0.6078
In1 In 0.0000 0.0000 0.5000
Ga1 Ga 0.3333 0.6667 0.9631
Sn1 Sn 0.0000 0.5000 0.0000
Sn2 Sn 0.2165 0.4330 0.2454

***

# PBE-GGA Ce2Pu2Rh15, relaxed
# Energy relative to the elements (meV/atom): -299
data_Ce2Pu2Rh15
_chemical_formula_sum 'Ce6 Pu6 Rh45'
_symmetry_space_group_name_H-M 'R -3 m'
_symmetry_Int_Tables_number 166
_symmetry_space_group_name_Hall '-R 3 2"'
_cell_length_a 9.1414
_cell_length_b 9.1414
_cell_length_c 13.4798
_cell_angle_alpha 90.00
_cell_angle_beta 90.00
_cell_angle_gamma 120.00
loop_
_atom_site_label
_atom_site_type_symbol
_atom_site_fract_x
_atom_site_fract_y
_atom_site_fract_z
Ce1 Ce 0.0000 0.0000 0.1083
Pu1 Pu 0.0000 0.0000 0.3614
Rh1 Rh 0.0000 0.3168 0.0000
Rh2 Rh 0.0000 0.5000 0.5000
Rh3 Rh 0.0093 0.5047 0.1583

***

# PBE-GGA Tm2PuCo, relaxed
# Energy relative to the elements (meV/atom): 233
# ΔE to the lowest computed polymorph (meV per atom): 282
data_Tm2PuCo
_chemical_formula_sum 'Tm6 Pu3 Co3'
_symmetry_space_group_name_H-M 'R -3 m'
_symmetry_Int_Tables_number 166
_symmetry_space_group_name_Hall '-R 3 2"'
_cell_length_a 3.4993
_cell_length_b 3.4993
_cell_length_c 30.1324
_cell_angle_alpha 90.00
_cell_angle_beta 90.00
_cell_angle_gamma 120.00
loop_
_atom_site_label
_atom_site_type_symbol
_atom_site_fract_x
_atom_site_fract_y
_atom_site_fract_z
Tm1 Tm 0.0000 0.0000 0.1122
Pu1 Pu 0.0000 0.0000 0.0000
Co1 Co 0.0000 0.0000 0.5000

***

# PBE-GGA Nd4Co, relaxed
# Energy relative to the elements (meV/atom): 84
# ΔE to the lowest computed polymorph (meV per atom): 66
data_Nd4Co
_chemical_formula_sum 'Nd4 Co1'
_symmetry_space_group_name_H-M 'P m -3 m'
_symmetry_Int_Tables_number 221
_symmetry_space_group_name_Hall '-P 4 2 3'
_cell_length_a 5.4691
_cell_length_b 5.4691
_cell_length_c 5.4691
_cell_angle_alpha 90.00
_cell_angle_beta 90.00
_cell_angle_gamma 90.00
loop_
_atom_site_label
_atom_site_type_symbol
_atom_site_fract_x
_atom_site_fract_y
_atom_site_fract_z
Nd1 Nd 0.0000 0.0000 0.0000
Nd2 Nd 0.0000 0.5000 0.5000
Co1 Co 0.5000 0.5000 0.5000

***

# PBE-GGA SmEuGa, relaxed
# Energy relative to the elements (meV/atom): -222
# ΔE to the lowest computed polymorph (meV per atom): 95
data_SmEuGa
_chemical_formula_sum 'Sm1 Eu1 Ga1'
_symmetry_space_group_name_H-M 'P 3 m 1'
_symmetry_Int_Tables_number 156
_cell_length_a 5.1098
_cell_length_b 5.1098
_cell_length_c 3.7935
_cell_angle_alpha 90.00
_cell_angle_beta 90.00
_cell_angle_gamma 120.00
loop_
_symmetry_equiv_pos_as_xyz
'x,y,z'
'-y,x-y,z'
'-x+y,-x,z'
'-y,-x,z'
'-x+y,y,z'
'x,x-y,z'
loop_
_atom_site_label
_atom_site_type_symbol
_atom_site_fract_x
_atom_site_fract_y
_atom_site_fract_z
Sm1 Sm 0.0000 0.0000 0.0000
Eu1 Eu 0.6667 0.3333 0.4291
Ga1 Ga 0.3333 0.6667 0.7699

***

# PBE-GGA CuRh2Cl, relaxed
# Uncorrected formation energy (eV/atom): 0.437
# ΔE to the lowest computed polymorph (meV per atom): 257
data_CuRh2Cl
_chemical_formula_sum 'Cu1 Rh2 Cl1'
_symmetry_space_group_name_H-M 'P 1 2/m 1'
_symmetry_Int_Tables_number 10
_cell_length_a 2.8927
_cell_length_b 4.3162
_cell_length_c 4.7445
_cell_angle_alpha 90.00
_cell_angle_beta 91.78
_cell_angle_gamma 90.00
loop_
_symmetry_equiv_pos_as_xyz
'x,y,z'
'-x,-y,-z'
'-x,y,-z'
'x,-y,z'
loop_
_atom_site_label
_atom_site_type_symbol
_atom_site_fract_x
_atom_site_fract_y
_atom_site_fract_z
Cu1 Cu 0.0000 0.0000 0.0000
Rh1 Rh 0.2706 0.5000 0.2443
Cl1 Cl 0.5000 0.0000 0.5000

***

Computed values of uncorrected energy (unit: eV/atom) for the preceding records, in sequence: -8.2472; -3.0644; -8.2360; -7.3620; -5.1517; -6.2290; -4.7240.